[1]
VASP calculation (GGA-PBE) on a relaxed structure of Ce2Al2Zn15.

The structure in CIF format:
```
data_Ce2Al2Zn15
_cell_length_a 9.0849
_cell_length_b 9.0849
_cell_length_c 13.2012
_cell_angle_alpha 90.00
_cell_angle_beta 90.00
_cell_angle_gamma 120.00
_symmetry_space_group_name_H-M 'R -3 m'
_symmetry_Int_Tables_number 166
_symmetry_space_group_name_Hall '-R 3 2"'
loop_
_atom_site_label
_atom_site_fract_x
_atom_site_fract_y
_atom_site_fract_z
Ce1 0.0000 0.0000 0.1638
Al1 0.0000 0.0000 0.3998
Zn1 0.0000 0.2981 0.5000
Zn2 0.0000 0.5000 0.0000
Zn3 0.0093 0.5046 0.6529
```

Summary:
**ΔE_f**: -227 meV/atom
**Crystal system**: trigonal
**E**: -128.31 eV/cell

[2]
VASP calculation (GGA-PBE) on a relaxed structure of CeAl3Zn3.

The structure in CIF format:
```
data_CeAl3Zn3
_cell_length_a 11.804
_cell_length_b 11.804
_cell_length_c 11.804
_cell_angle_alpha 90.00
_cell_angle_beta 90.00
_cell_angle_gamma 90.00
_symmetry_space_group_name_H-M 'F m -3 m'
_symmetry_Int_Tables_number 225
_symmetry_space_group_name_Hall '-F 4 2 3'
loop_
_atom_site_label
_atom_site_fract_x
_atom_site_fract_y
_atom_site_fract_z
Ce1 0.250 0.250 0.250
Al1 0.000 0.000 0.156
Zn1 0.000 0.000 0.350
```

Summary:
**ΔE_f**: 563 meV/atom
**Crystal system**: cubic
**E**: -136.33 eV/cell